Below is an optimized crystal structure of MgVO2F, with properties calculated at the PBE with a Hubbard U level.

abc: 3.9135 3.9135 3.5692
angles: 90.00 90.00 90.00
Atoms (fractional coordinates):
O1 0.0000 0.5000 0.0000
O2 0.5000 0.0000 0.0000
F1 0.0000 0.0000 0.5000
V1 0.5000 0.5000 0.5000
Mg1 0.0000 0.0000 0.0000

Summary:
Density of states at the Fermi level, states/eV/atom: 0.055
Total energy, eV per atom: -5.766
Magnetic moment, μB/cell: 2.0
Calculated volume, Å³/cell: 55